# 1
VASP calculation (PBE) on an optimized crystal structure of HfZn2In.

Cell and atoms, written as CIF:
```
data_HfZn2In
_symmetry_space_group_name_H-M 'P 1'
_symmetry_Int_Tables_number 1
_symmetry_space_group_name_Hall 'P 1'
_cell_length_a 3.216
_cell_length_b 3.216
_cell_length_c 7.388
_cell_angle_alpha 90.00
_cell_angle_beta 90.00
_cell_angle_gamma 90.00
loop_
_atom_site_label
_atom_site_type_symbol
_atom_site_fract_x
_atom_site_fract_y
_atom_site_fract_z
In1 In 0.500 0.500 0.000
Zn1 Zn 0.000 0.000 0.743
Zn2 Zn 0.000 0.000 0.257
Hf1 Hf 0.500 0.500 0.500
```

Results
* symmetry: P4/mmm (123)
* DFT formation energy: -0.013 eV per atom

---

# 2
VASP calculation (PBE) on an optimized crystal structure of SiTeAu2.

Cell and atoms, written as CIF:
```
data_SiTeAu2
_symmetry_space_group_name_H-M 'P 1'
_symmetry_Int_Tables_number 1
_symmetry_space_group_name_Hall 'P 1'
_cell_length_a 4.042
_cell_length_b 4.038
_cell_length_c 5.069
_cell_angle_alpha 90.00
_cell_angle_beta 90.00
_cell_angle_gamma 90.00
loop_
_atom_site_label
_atom_site_type_symbol
_atom_site_fract_x
_atom_site_fract_y
_atom_site_fract_z
Au1 Au 0.500 0.500 0.000
Au2 Au 0.000 0.000 0.000
Si1 Si 0.500 0.000 0.500
Te1 Te 0.000 0.500 0.500
```

Results
* formation energy (no corrections): 0.338 eV per atom
* symmetry: P4/mmm (123)

---

# 3
VASP calculation (PBE) on an optimized crystal structure of CsNa2AgGe.

Cell and atoms, written as CIF:
```
data_CsNa2AgGe
_symmetry_space_group_name_H-M 'P 1'
_symmetry_Int_Tables_number 1
_symmetry_space_group_name_Hall 'P 1'
_cell_length_a 5.805
_cell_length_b 5.805
_cell_length_c 5.109
_cell_angle_alpha 90.00
_cell_angle_beta 90.00
_cell_angle_gamma 90.00
loop_
_atom_site_label
_atom_site_type_symbol
_atom_site_fract_x
_atom_site_fract_y
_atom_site_fract_z
Na1 Na 0.500 0.000 0.000
Na2 Na 0.000 0.500 0.000
Cs1 Cs 0.500 0.500 0.500
Ag1 Ag 0.000 0.000 0.500
Ge1 Ge 0.000 0.000 0.000
```

Results
* symmetry: P4/mmm (123)
* DFT formation energy: -0.020 eV per atom

---

# 4
VASP calculation (PBE) on an optimized crystal structure of Pm4PuS5.

Cell and atoms, written as CIF:
```
data_Pm4PuS5
_symmetry_space_group_name_H-M 'P 1'
_symmetry_Int_Tables_number 1
_symmetry_space_group_name_Hall 'P 1'
_cell_length_a 5.682
_cell_length_b 6.960
_cell_length_c 6.960
_cell_angle_alpha 80.41
_cell_angle_beta 65.91
_cell_angle_gamma 65.91
loop_
_atom_site_label
_atom_site_type_symbol
_atom_site_fract_x
_atom_site_fract_y
_atom_site_fract_z
Pm1 Pm 0.598 0.604 0.203
Pm2 Pm 0.404 0.396 0.797
Pm3 Pm 0.201 0.203 0.396
Pm4 Pm 0.801 0.797 0.604
S1 S 0.705 0.197 0.395
S2 S 0.902 0.395 0.803
S3 S 0.100 0.605 0.197
S4 S 0.501 0.000 0.000
S5 S 0.297 0.803 0.605
Pu1 Pu 0.001 0.000 0.000
```

Results
* formation energy (no corrections): -1.995 eV per atom
* symmetry: I4/m (87)